Record 1
The following is a DFT calculation (GGA-PBE) of an optimized crystal structure of Tb3Pm2Tm3.

Geometry as POSCAR:
```
Tb3Pm2Tm3
1.0
3.632 -0.390 0.000
-2.730 8.739 0.000
0.000 0.000 16.796
Tb Pm Tm
6 4 6
direct
0.788 0.289 0.981
0.212 0.711 0.481
0.788 0.289 0.519
0.212 0.711 0.019
0.260 0.761 0.250
0.740 0.239 0.750
0.554 0.554 0.645
0.446 0.446 0.145
0.554 0.554 0.855
0.446 0.446 0.355
0.013 0.013 0.102
0.987 0.987 0.602
0.013 0.013 0.398
0.987 0.987 0.898
0.665 0.165 0.250
0.335 0.835 0.750
```

Computed properties:
DFT total energy in eV/atom: -4.56
Symmetry: Pmma
Energy relative to the lowest polymorph listed for this composition in meV/atom: 15


Record 2
The following is a DFT calculation (GGA-PBE) of an optimized crystal structure of TbPm2Tm.

Geometry as POSCAR:
```
TbPm2Tm
1.0
3.591 0.000 0.000
0.000 3.591 0.000
0.000 0.000 10.121
Tm Tb Pm
1 1 2
direct
0.500 0.500 0.000
0.500 0.500 0.500
0.000 0.000 0.752
0.000 0.000 0.248
```

Computed properties:
DFT total energy in eV/atom: -4.63
Symmetry: P4/mmm
Energy relative to the lowest polymorph listed for this composition in meV/atom: 5


Record 3
The following is a DFT calculation (GGA-PBE) of an optimized crystal structure of TbPm6Tm3.

Geometry as POSCAR:
```
TbPm6Tm3
1.0
6.407 0.000 0.000
0.000 10.169 -5.768
0.000 -2.246 11.473
Tb Pm Tm
2 12 6
direct
0.012 0.158 0.842
0.512 0.842 0.158
0.074 0.739 0.620
0.574 0.620 0.739
0.323 0.455 0.894
0.823 0.894 0.455
0.310 0.984 0.016
0.796 0.301 0.699
0.296 0.699 0.301
0.810 0.016 0.984
0.323 0.106 0.545
0.823 0.545 0.106
0.074 0.380 0.261
0.574 0.261 0.380
0.490 0.957 0.707
0.990 0.707 0.957
0.094 0.419 0.581
0.594 0.581 0.419
0.990 0.043 0.293
0.490 0.293 0.043
```

Computed properties:
DFT total energy in eV/atom: -4.53
Symmetry: Cmc2_1


Record 4
The following is a DFT calculation (GGA-PBE) of an optimized crystal structure of Tb2Pm3Tm8.

Geometry as POSCAR:
```
Tb2Pm3Tm8
1.0
-3.759 -5.219 -2.436
-4.455 -5.613 6.110
-9.344 0.227 1.143
Tb Pm Tm
2 3 8
direct
0.488 0.218 0.218
0.512 0.782 0.782
0.500 0.000 0.000
0.000 0.177 0.823
0.000 0.823 0.177
0.070 0.582 0.582
0.930 0.418 0.418
0.012 0.193 0.193
0.988 0.807 0.807
0.561 0.562 0.201
0.561 0.201 0.562
0.439 0.799 0.438
0.439 0.438 0.799
```

Computed properties:
DFT total energy in eV/atom: -4.32
Symmetry: C2/m
Energy relative to the lowest polymorph listed for this composition in meV/atom: 81


Record 5
The following is a DFT calculation (GGA-PBE) of an optimized crystal structure of Tb15Pm2Tm2.

Geometry as POSCAR:
```
Tb15Pm2Tm2
1.0
8.404 -0.523 2.341
1.638 8.260 2.341
-0.679 -0.523 8.698
Tb Pm Tm
15 2 2
direct
0.000 0.500 0.000
0.000 0.000 0.500
0.500 0.000 0.000
0.301 0.000 0.699
0.699 0.301 0.000
0.000 0.699 0.301
0.301 0.699 0.000
0.000 0.301 0.699
0.699 0.000 0.301
0.376 0.848 0.376
0.376 0.376 0.848
0.848 0.376 0.376
0.624 0.152 0.624
0.624 0.624 0.152
0.152 0.624 0.624
0.907 0.907 0.907
0.093 0.093 0.093
0.680 0.680 0.680
0.320 0.320 0.320
```

Computed properties:
DFT total energy in eV/atom: -4.33
Symmetry: R-3m


Record 6
The following is a DFT calculation (GGA-PBE) of an optimized crystal structure of Tb3Pm6Tm.

Geometry as POSCAR:
```
Tb3Pm6Tm
1.0
8.751 0.000 4.644
3.143 8.167 4.644
2.182 1.498 6.456
Tb Pm Tm
3 6 1
direct
0.350 0.350 0.951
0.600 0.600 0.200
0.100 0.100 0.700
0.929 0.602 0.199
0.270 0.929 0.199
0.602 0.270 0.199
0.098 0.430 0.701
0.771 0.098 0.701
0.430 0.771 0.701
0.850 0.850 0.450
```

Computed properties:
DFT total energy in eV/atom: -4.45
Symmetry: R-3
Energy relative to the lowest polymorph listed for this composition in meV/atom: 100


Record 7
The following is a DFT calculation (GGA-PBE) of an optimized crystal structure of TbPm14Tm.

Geometry as POSCAR:
```
TbPm14Tm
1.0
7.209 0.967 0.000
-0.967 7.209 0.000
0.000 0.000 10.261
Tb Pm Tm
1 14 1
direct
0.875 0.125 0.000
0.375 0.625 0.500
0.875 0.125 0.500
0.875 0.625 0.000
0.875 0.625 0.500
0.375 0.125 0.000
0.375 0.125 0.500
0.625 0.874 0.752
0.625 0.874 0.248
0.126 0.375 0.752
0.126 0.375 0.248
0.125 0.875 0.752
0.125 0.875 0.248
0.625 0.375 0.752
0.625 0.375 0.248
0.375 0.625 0.000
```

Computed properties:
DFT total energy in eV/atom: -4.71
Symmetry: P4/mmm


Record 8
The following is a DFT calculation (GGA-PBE) of an optimized crystal structure of Tb2Pm3Tm.

Geometry as POSCAR:
```
Tb2Pm3Tm
1.0
6.991 -1.100 -1.487
-4.196 9.378 -0.437
-2.149 0.719 6.874
Tb Pm Tm
4 6 2
direct
0.307 0.670 0.362
0.305 0.667 0.861
0.695 0.333 0.139
0.693 0.330 0.638
0.252 0.001 0.750
0.748 0.999 0.250
0.808 0.669 0.862
0.196 0.335 0.639
0.804 0.665 0.361
0.192 0.331 0.138
0.252 0.001 0.251
0.748 0.999 0.749
```

Computed properties:
DFT total energy in eV/atom: -4.65
Symmetry: P-1


Record 9
The following is a DFT calculation (GGA-PBE) of an optimized crystal structure of Tb6Pm4Tm19.

Geometry as POSCAR:
```
Tb6Pm4Tm19
1.0
-10.046 -3.684 -0.175
6.705 -7.779 -3.013
2.459 3.186 9.917
Tb Pm Tm
6 4 19
direct
0.373 0.500 0.873
0.627 0.500 0.127
0.127 0.627 0.500
0.873 0.373 0.500
0.500 0.873 0.373
0.500 0.127 0.627
0.000 0.000 0.641
0.000 0.641 0.000
0.359 0.359 0.359
0.641 0.000 0.000
0.740 0.000 0.740
0.260 0.000 0.260
0.260 0.260 0.000
0.740 0.740 0.000
0.000 0.740 0.740
0.000 0.260 0.260
0.000 0.000 0.000
0.199 0.213 0.538
0.801 0.339 0.015
0.675 0.661 0.462
0.015 0.801 0.339
0.325 0.787 0.985
0.538 0.199 0.213
0.985 0.325 0.787
0.462 0.675 0.661
0.787 0.985 0.325
0.339 0.015 0.801
0.213 0.538 0.199
0.661 0.462 0.675
```

Computed properties:
DFT total energy in eV/atom: -4.15
Symmetry: I23


Record 10
The following is a DFT calculation (GGA-PBE) of an optimized crystal structure of TbPm7Tm4.

Geometry as POSCAR:
```
TbPm7Tm4
1.0
6.416 -1.860 2.771
0.714 5.815 2.239
2.780 -2.289 10.895
Tb Pm Tm
1 7 4
direct
0.000 0.000 0.000
0.745 0.501 0.002
0.255 0.499 0.998
0.084 0.280 0.665
0.916 0.720 0.335
0.335 0.778 0.665
0.500 0.000 0.000
0.665 0.222 0.335
0.413 0.722 0.334
0.587 0.278 0.666
0.836 0.781 0.664
0.164 0.219 0.336
```

Computed properties:
DFT total energy in eV/atom: -4.65
Symmetry: P-1
Energy relative to the lowest polymorph listed for this composition in meV/atom: 0


Record 11
The following is a DFT calculation (GGA-PBE) of an optimized crystal structure of Tb2Pm6Tm3.

Geometry as POSCAR:
```
Tb2Pm6Tm3
1.0
5.635 -1.635 1.677
-1.606 7.664 3.242
2.583 6.902 13.678
Tb Pm Tm
2 6 3
direct
0.459 0.272 0.185
0.541 0.728 0.815
0.830 0.401 0.905
0.945 0.444 0.648
0.170 0.599 0.095
0.055 0.556 0.352
0.655 0.817 0.544
0.345 0.183 0.456
0.000 0.000 0.000
0.745 0.902 0.276
0.255 0.098 0.724
```

Computed properties:
DFT total energy in eV/atom: -4.58
Symmetry: P-1


Record 12
The following is a DFT calculation (GGA-PBE) of an optimized crystal structure of Tb4PmTm3.

Geometry as POSCAR:
```
Tb4PmTm3
1.0
6.264 0.000 0.000
0.000 7.251 0.000
0.000 0.000 11.249
Tb Pm Tm
8 2 6
direct
0.146 0.874 0.000
0.649 0.126 0.000
0.981 0.125 0.252
0.481 0.875 0.248
0.149 0.874 0.500
0.646 0.126 0.500
0.481 0.875 0.752
0.981 0.125 0.748
0.148 0.375 0.000
0.648 0.625 0.500
0.648 0.624 0.000
0.981 0.624 0.250
0.481 0.376 0.250
0.148 0.376 0.500
0.481 0.376 0.750
0.981 0.624 0.750
```

Computed properties:
DFT total energy in eV/atom: -4.58
Symmetry: Pmn2_1
Energy relative to the lowest polymorph listed for this composition in meV/atom: 0


Q: Number 8 is which compound?
A: Tb2Pm3Tm


Q: Look up the DFT total energy of the fourth one.
A: -4.32 eV/atom